Density functional theory data (GGA-PBE) for a relaxed Cs2PmIrO4 crystal.

Results
The uncorrected formation energy comes out at -149 kJ/mol of atoms. As for the calculated density: 6.44 g cm⁻³. The total magnetic moment is 0.2500 μB per atom. Its electronic total energy is -47.50 eV for the cell shown.

Cell and atoms, written as extended XYZ:
```
8
Lattice="-3.3371 3.3371 3.8634 3.3371 -3.3371 3.8634 3.3371 3.3371 -3.8634" Properties=species:S:1:pos:R:3 pbc="T T T"
Cs 0.0000 0.0000 0.0000
Cs 0.0000 3.3371 1.9317
Pm 0.0000 0.0000 3.8634
Ir 3.3371 0.0000 1.9317
O 1.7941 2.6042 -1.4720
O 1.5430 0.7329 2.3914
O 4.0701 1.7941 1.4720
O -0.7329 1.5430 5.3354
```

=====

Density functional theory data (GGA-PBE) for a relaxed CaIn2PdCl crystal.

Results
The uncorrected formation energy comes out at 21 kJ/mol of atoms. As for the calculated density: 3.72 g cm⁻³. The total magnetic moment is 0.0000 μB per atom. Its electronic total energy is -13.41 eV for the cell shown.

Cell and atoms, written as extended XYZ:
```
5
Lattice="6.0898 0.0000 0.0000 0.0000 6.0898 0.0000 0.0000 0.0000 4.9577" Properties=species:S:1:pos:R:3 pbc="T T T"
Ca 0.0000 0.0000 0.0000
In 0.0000 3.0449 0.0000
In 3.0449 0.0000 0.0000
Pd 3.0449 3.0449 2.4788
Cl 0.0000 0.0000 2.4788
```

=====

Density functional theory data (GGA-PBE) for a relaxed CsMg2SeCl crystal.

Results
The uncorrected formation energy comes out at -70 kJ/mol of atoms. As for the calculated density: 2.08 g cm⁻³. The total magnetic moment is 0.0000 μB per atom. Its electronic total energy is -13.00 eV for the cell shown.

Cell and atoms, written as extended XYZ:
```
5
Lattice="5.0364 0.0000 0.0000 0.0000 5.0364 0.0000 0.0000 0.0000 9.3012" Properties=species:S:1:pos:R:3 pbc="T T T"
Cs 0.0000 0.0000 0.0000
Mg 0.0000 2.5182 4.6506
Mg 2.5182 0.0000 4.6506
Se 2.5182 2.5182 4.6506
Cl 2.5182 2.5182 0.0000
```

=====

Density functional theory data (GGA-PBE) for a relaxed Na2OsPt crystal.

Results
As for the calculated density: 10.07 g cm⁻³. The value obtained for the formation energy is 1.172 eV/atom. The total magnetic moment is 0.5903 μB per atom. Its electronic total energy is -15.22 eV for the cell shown.

Cell and atoms, written as extended XYZ:
```
4
Lattice="0.0000 3.2884 3.2884 3.2884 0.0000 3.2884 3.2884 3.2884 0.0000" Properties=species:S:1:pos:R:3 pbc="T T T"
Na 1.6442 1.6442 1.6442
Na 4.9326 4.9326 4.9326
Os 0.0000 0.0000 0.0000
Pt 3.2884 3.2884 3.2884
```

=====

Density functional theory data (GGA-PBE) for a relaxed Pm2Se5 crystal.

Results
The uncorrected formation energy comes out at -133 kJ/mol of atoms. As for the calculated density: 6.39 g cm⁻³. The total magnetic moment is 0.0000 μB per atom. Its electronic total energy is -73.19 eV for the cell shown.

Cell and atoms, written as extended XYZ:
```
14
Lattice="2.0236 -21.7248 0.0000 2.0236 21.7248 0.0000 0.0000 0.0000 4.0473" Properties=species:S:1:pos:R:3 pbc="T T T"
Pm 2.0236 17.2550 3.0355
Pm 2.0236 8.4253 3.0355
Pm 2.0236 -8.4253 1.0118
Pm 2.0236 -17.2550 1.0118
Se 2.0236 19.6193 1.0118
Se 2.0236 14.0983 3.0355
Se 2.0236 10.8624 1.0118
Se 2.0236 5.3851 3.0355
Se 2.0236 2.1058 1.0118
Se 2.0236 -2.1058 3.0355
Se 2.0236 -5.3851 1.0118
Se 2.0236 -10.8624 3.0355
Se 2.0236 -14.0983 1.0118
Se 2.0236 -19.6193 3.0355
```

=====

Density functional theory data (GGA-PBE) for a relaxed YPuC2 crystal.

Results
As for the calculated density: 9.45 g cm⁻³. The value obtained for the formation energy is 0.102 eV/atom. The total magnetic moment is 0.7797 μB per atom. Its electronic total energy is -38.84 eV for the cell shown.

Cell and atoms, written as extended XYZ:
```
4
Lattice="1.7590 1.0156 5.8526 -1.7590 1.0156 5.8526 0.0000 -2.0312 5.8526" Properties=species:S:1:pos:R:3 pbc="T T T"
Y 0.0000 0.0000 0.0000
Pu 0.0000 0.0000 2.9750
C 0.0000 0.0000 10.1189
C 0.0000 0.0000 13.4129
```

=====

Density functional theory data (GGA-PBE) for a relaxed YPu4S6 crystal.

Results
The uncorrected formation energy comes out at -167 kJ/mol of atoms. As for the calculated density: 8.24 g cm⁻³. The total magnetic moment is 0.0016 μB per atom. Its electronic total energy is -215.27 eV for the cell shown.

Cell and atoms, written as extended XYZ:
```
22
Lattice="1.9386 -6.5333 0.0000 1.9386 6.5333 0.0000 0.0000 0.0000 20.0118" Properties=species:S:1:pos:R:3 pbc="T T T"
Y 1.9386 4.5571 15.0088
Y 1.9386 -4.5571 5.0029
Pu 1.9386 5.3239 2.6218
Pu 1.9386 5.3239 7.3841
Pu 1.9386 1.7949 0.8116
Pu 1.9386 1.7949 9.1943
Pu 1.9386 -1.7949 10.8174
Pu 1.9386 -1.7949 19.2002
Pu 1.9386 -5.3239 12.6277
Pu 1.9386 -5.3239 17.3900
S 0.0000 0.0000 0.0000
S 0.0000 0.0000 10.0059
S 1.9386 3.9383 5.0029
S 1.9386 2.9842 11.7341
S 1.9386 2.9842 18.2836
S 1.9386 0.6470 3.3754
S 1.9386 0.6470 6.6304
S 1.9386 -0.6470 13.3813
S 1.9386 -0.6470 16.6363
S 1.9386 -2.9842 1.7282
S 1.9386 -2.9842 8.2777
S 1.9386 -3.9383 15.0088
```

=====

Density functional theory data (GGA-PBE) for a relaxed LiLa4U3N8 crystal.

Results
The uncorrected formation energy comes out at -122 kJ/mol of atoms. As for the calculated density: 9.14 g cm⁻³. The total magnetic moment is 0.0645 μB per atom. Its electronic total energy is -142.33 eV for the cell shown.

Cell and atoms, written as extended XYZ:
```
16
Lattice="3.5126 2.0280 5.9020 -3.5126 2.0280 5.9020 0.0000 -4.0560 5.9020" Properties=species:S:1:pos:R:3 pbc="T T T"
Li 0.0000 0.0000 0.0000
La -3.5126 0.0000 8.8530
La -1.7563 1.0140 2.9510
La 1.7563 1.0140 2.9510
La 0.0000 0.0000 8.8530
U -1.7563 -1.0140 5.9020
U -1.7563 1.0140 11.8039
U 0.0000 2.0280 5.9020
N 0.0000 -1.8535 7.0793
N -1.6052 0.9268 7.0793
N 0.0000 0.0000 4.7359
N -1.6052 -0.9268 10.6266
N 1.6052 0.9268 7.0793
N 0.0000 0.0000 12.9700
N 1.6052 -0.9268 10.6266
N 0.0000 1.8535 10.6266
```

=====

Density functional theory data (GGA-PBE) for a relaxed ZrScSi2 crystal.

Results
The uncorrected formation energy comes out at -50 kJ/mol of atoms. As for the calculated density: 4.56 g cm⁻³. The total magnetic moment is 0.0000 μB per atom. Its electronic total energy is -27.79 eV for the cell shown.

Cell and atoms, written as extended XYZ:
```
4
Lattice="-2.1062 2.1062 3.9500 2.1062 -2.1062 3.9500 2.1062 2.1062 -3.9500" Properties=species:S:1:pos:R:3 pbc="T T T"
Zr 0.0000 0.0000 0.0000
Sc 0.0000 0.0000 3.9500
Si 2.1062 0.0000 1.9750
Si 0.0000 2.1062 1.9750
```

=====

Density functional theory data (GGA-PBE) for a relaxed LiTiPd crystal.

Results
As for the calculated density: 5.20 g cm⁻³. The value obtained for the formation energy is -0.392 eV/atom. The total magnetic moment is 0.0000 μB per atom. Its electronic total energy is -32.35 eV for the cell shown.

Cell and atoms, written as extended XYZ:
```
6
Lattice="-1.5225 1.5225 11.1131 1.5225 -1.5225 11.1131 1.5225 1.5225 -11.1131" Properties=species:S:1:pos:R:3 pbc="T T T"
Li 0.0000 0.0000 1.4388
Li 0.0000 0.0000 20.7874
Ti 0.0000 0.0000 4.6574
Ti 0.0000 0.0000 17.5688
Pd 0.0000 0.0000 8.0457
Pd 0.0000 0.0000 14.1804
```

=====

Density functional theory data (GGA-PBE) for a relaxed LiHf2RhO crystal.

Results
The uncorrected formation energy comes out at -137 kJ/mol of atoms. As for the calculated density: 11.21 g cm⁻³. The total magnetic moment is 0.0000 μB per atom. Its electronic total energy is -41.21 eV for the cell shown.

Cell and atoms, written as extended XYZ:
```
5
Lattice="4.4347 0.0000 0.0000 0.0000 4.4347 0.0000 0.0000 0.0000 3.6368" Properties=species:S:1:pos:R:3 pbc="T T T"
Li 0.0000 0.0000 0.0000
Hf 0.0000 2.2174 1.8184
Hf 2.2174 0.0000 1.8184
Rh 2.2174 2.2174 0.0000
O 0.0000 0.0000 1.8184
```

=====

Density functional theory data (GGA-PBE) for a relaxed SbAsSe3 crystal.

Results
The uncorrected formation energy comes out at 38 kJ/mol of atoms. As for the calculated density: 5.67 g cm⁻³. The total magnetic moment is 0.0000 μB per atom. Its electronic total energy is -17.27 eV for the cell shown.

Cell and atoms, written as extended XYZ:
```
5
Lattice="5.0270 0.0000 0.0000 0.0000 5.0270 0.0000 0.0000 0.0000 5.0270" Properties=species:S:1:pos:R:3 pbc="T T T"
Sb 0.0000 0.0000 0.0000
As 2.5135 2.5135 2.5135
Se 0.0000 2.5135 2.5135
Se 2.5135 0.0000 2.5135
Se 2.5135 2.5135 0.0000
```